Here is a relaxed structure of NaAc2Zn3Au4 from Alexandria. Energies are from PBE.

Geometry as POSCAR:
```
NaAc2Zn3Au4
1.0
4.408 0.000 0.000
0.000 4.408 0.000
0.000 0.000 11.968
Na Ac Zn Au
1 2 3 4
direct
0.500 0.500 0.500 Na
0.500 0.000 0.234 Ac
0.000 0.500 0.766 Ac
0.000 0.000 0.500 Zn
0.500 0.000 0.877 Zn
0.000 0.500 0.123 Zn
0.500 0.500 0.000 Au
0.000 0.000 0.000 Au
0.500 0.000 0.656 Au
0.000 0.500 0.344 Au
```

Output
Calculated density in kg/m3: 10432
Symmetry: P-4m2, No. 115
M_tot in μB/atom: 0.000
ΔE_f in eV per atom: -0.509